Entry 1:
# Tl2CrI2, optimized geometry, DFT PBE-GGA
data_Tl2CrI2
_space_group_name_H-M_alt 'P 4/m b m'
_space_group_IT_number 127
_space_group_name_Hall '-P 4 2ab'
_cell_length_a 7.621
_cell_length_b 7.621
_cell_length_c 6.170
_cell_angle_alpha 90.00
_cell_angle_beta 90.00
_cell_angle_gamma 90.00
loop_
_atom_site_label
_atom_site_type_symbol
_atom_site_fract_x
_atom_site_fract_y
_atom_site_fract_z
Tl1 Tl 0.175 0.325 0.000
Cr1 Cr 0.000 0.000 0.500
I1 I 0.180 0.680 0.500
# total magnetic moment: 4.2 μB/f.u.
# ΔE_f (raw): 0.07 eV per formula unit
# uncorrected energy: -17.382 eV per formula unit
# density of states at the Fermi level: 0.403 states/eV per atom
# volume: 358.3 Å³ per cell

Entry 2:
# Er2PuTe3, optimized geometry, DFT PBE-GGA
data_Er2PuTe3
_space_group_name_H-M_alt 'I m m m'
_space_group_IT_number 71
_space_group_name_Hall '-I 2 2'
_cell_length_a 4.333
_cell_length_b 6.160
_cell_length_c 13.116
_cell_angle_alpha 90.00
_cell_angle_beta 90.00
_cell_angle_gamma 90.00
loop_
_atom_site_label
_atom_site_type_symbol
_atom_site_fract_x
_atom_site_fract_y
_atom_site_fract_z
Er1 Er 0.000 0.000 0.165
Pu1 Pu 0.000 0.000 0.500
Te1 Te 0.000 0.500 0.171
Te2 Te 0.000 0.500 0.500
# total magnetic moment: 6.1 μB/f.u.
# ΔE_f (raw): -7.18 eV per formula unit
# uncorrected energy: -40.066 eV per formula unit
# density of states at the Fermi level: 1.718 states/eV per atom
# volume: 350.1 Å³ per cell

Entry 3:
# NaOsNF2, optimized geometry, DFT PBE-GGA
data_NaOsNF2
_space_group_name_H-M_alt 'P 4/m m m'
_space_group_IT_number 123
_space_group_name_Hall '-P 4 2'
_cell_length_a 3.793
_cell_length_b 3.793
_cell_length_c 4.531
_cell_angle_alpha 90.00
_cell_angle_beta 90.00
_cell_angle_gamma 90.00
loop_
_atom_site_label
_atom_site_type_symbol
_atom_site_fract_x
_atom_site_fract_y
_atom_site_fract_z
Na1 Na 0.000 0.000 0.000
Os1 Os 0.500 0.500 0.500
N1 N 0.000 0.000 0.500
F1 F 0.000 0.500 0.000
# total magnetic moment: 5.0 μB/f.u.
# ΔE_f (raw): 3.47 eV per formula unit
# uncorrected energy: -21.150 eV per formula unit
# density of states at the Fermi level: 0.266 states/eV per atom
# volume: 65.2 Å³ per cell

Entry 4:
# Sm7ErTl2, optimized geometry, DFT PBE-GGA
data_Sm7ErTl2
_space_group_name_H-M_alt 'C m m m'
_space_group_IT_number 65
_space_group_name_Hall '-C 2 2'
_cell_length_a 9.314
_cell_length_b 16.006
_cell_length_c 5.327
_cell_angle_alpha 90.00
_cell_angle_beta 90.00
_cell_angle_gamma 90.00
loop_
_atom_site_label
_atom_site_type_symbol
_atom_site_fract_x
_atom_site_fract_y
_atom_site_fract_z
Sm1 Sm 0.000 0.000 0.000
Sm2 Sm 0.000 0.277 0.500
Sm3 Sm 0.182 0.381 0.000
Er1 Er 0.000 0.500 0.500
Tl1 Tl 0.000 0.193 0.000
# total magnetic moment: 0.0 μB/f.u.
# uncorrected energy: -38.850 eV per formula unit
# density of states at the Fermi level: 2.027 states/eV per atom
# volume: 794.1 Å³ per cell

Entry 5:
# Tl2GaHgI, optimized geometry, DFT PBE-GGA
data_Tl2GaHgI
_space_group_name_H-M_alt 'P 4/m m m'
_space_group_IT_number 123
_space_group_name_Hall '-P 4 2'
_cell_length_a 5.783
_cell_length_b 5.783
_cell_length_c 5.240
_cell_angle_alpha 90.00
_cell_angle_beta 90.00
_cell_angle_gamma 90.00
loop_
_atom_site_label
_atom_site_type_symbol
_atom_site_fract_x
_atom_site_fract_y
_atom_site_fract_z
Tl1 Tl 0.000 0.500 0.000
Ga1 Ga 0.000 0.000 0.000
Hg1 Hg 0.000 0.000 0.500
I1 I 0.500 0.500 0.500
# total magnetic moment: 0.0 μB/f.u.
# ΔE_f (raw): -0.57 eV per formula unit
# uncorrected energy: -10.181 eV per formula unit
# density of states at the Fermi level: 0.480 states/eV per atom
# volume: 175.2 Å³ per cell

Entry 6:
# CoTc2Os, optimized geometry, DFT PBE-GGA
data_CoTc2Os
_space_group_name_H-M_alt 'P m m m'
_space_group_IT_number 47
_cell_length_a 2.688
_cell_length_b 3.790
_cell_length_c 5.322
_cell_angle_alpha 90.00
_cell_angle_beta 90.00
_cell_angle_gamma 90.00
loop_
_space_group_symop_operation_xyz
'x,y,z'
'-x,-y,-z'
'-x,-y,z'
'x,y,-z'
'x,-y,-z'
'-x,y,z'
'-x,y,-z'
'x,-y,z'
loop_
_atom_site_label
_atom_site_type_symbol
_atom_site_fract_x
_atom_site_fract_y
_atom_site_fract_z
Co1 Co 0.000 0.000 0.000
Tc1 Tc 0.500 0.500 0.237
Os1 Os 0.000 0.000 0.500
# total magnetic moment: 0.2 μB/f.u.
# uncorrected energy: -38.812 eV per formula unit
# density of states at the Fermi level: 1.183 states/eV per atom
# volume: 54.2 Å³ per cell

Entry 7:
# K2Ge2PbO6, optimized geometry, DFT PBE-GGA
data_K2Ge2PbO6
_space_group_name_H-M_alt 'C 1 2/m 1'
_space_group_IT_number 12
_cell_length_a 10.441
_cell_length_b 6.314
_cell_length_c 7.011
_cell_angle_alpha 90.00
_cell_angle_beta 116.58
_cell_angle_gamma 90.00
loop_
_space_group_symop_operation_xyz
'x,y,z'
'-x,-y,-z'
'-x,y,-z'
'x,-y,z'
'x+1/2,y+1/2,z'
'-x+1/2,-y+1/2,-z'
'-x+1/2,y+1/2,-z'
'x+1/2,-y+1/2,z'
loop_
_atom_site_label
_atom_site_type_symbol
_atom_site_fract_x
_atom_site_fract_y
_atom_site_fract_z
K1 K 0.194 0.000 0.147
Ge1 Ge 0.057 0.500 0.264
Pb1 Pb 0.000 0.000 0.500
O1 O 0.042 0.269 0.793
O2 O 0.239 0.500 0.394
# total magnetic moment: 0.0 μB/f.u.
# ΔE_f (raw): -15.98 eV per formula unit
# uncorrected energy: -60.870 eV per formula unit
# density of states at the Fermi level: 0.000 states/eV per atom
# volume: 413.3 Å³ per cell

Entry 8:
# Pm3NdSmTm, optimized geometry, DFT PBE-GGA
data_Pm3NdSmTm
_space_group_name_H-M_alt 'P 1 21/m 1'
_space_group_IT_number 11
_cell_length_a 8.094
_cell_length_b 5.137
_cell_length_c 10.247
_cell_angle_alpha 90.00
_cell_angle_beta 108.54
_cell_angle_gamma 90.00
loop_
_space_group_symop_operation_xyz
'x,y,z'
'-x,-y,-z'
'-x,y+1/2,-z'
'x,-y+1/2,z'
loop_
_atom_site_label
_atom_site_type_symbol
_atom_site_fract_x
_atom_site_fract_y
_atom_site_fract_z
Pm1 Pm 0.168 0.250 0.043
Pm2 Pm 0.169 0.750 0.791
Pm3 Pm 0.170 0.250 0.542
Nd1 Nd 0.169 0.750 0.293
Sm1 Sm 0.500 0.250 0.874
Tm1 Tm 0.500 0.250 0.377
# total magnetic moment: 0.0 μB/f.u.
# uncorrected energy: -28.095 eV per formula unit
# density of states at the Fermi level: 1.468 states/eV per atom
# volume: 403.9 Å³ per cell

Entry 9:
# Ni2AgMo, optimized geometry, DFT PBE-GGA
data_Ni2AgMo
_space_group_name_H-M_alt 'I -4 2 d'
_space_group_IT_number 122
_space_group_name_Hall 'I -4 2bw'
_cell_length_a 6.707
_cell_length_b 6.707
_cell_length_c 5.395
_cell_angle_alpha 90.00
_cell_angle_beta 90.00
_cell_angle_gamma 90.00
loop_
_atom_site_label
_atom_site_type_symbol
_atom_site_fract_x
_atom_site_fract_y
_atom_site_fract_z
Ni1 Ni 0.227 0.250 0.125
Ag1 Ag 0.000 0.000 0.500
Mo1 Mo 0.000 0.000 0.000
# total magnetic moment: 0.0 μB/f.u.
# uncorrected energy: -22.331 eV per formula unit
# density of states at the Fermi level: 1.722 states/eV per atom
# volume: 242.7 Å³ per cell

Entry 10:
# K2ZnSb2, optimized geometry, DFT PBE-GGA
data_K2ZnSb2
_space_group_name_H-M_alt 'C 1 2/m 1'
_space_group_IT_number 12
_cell_length_a 13.173
_cell_length_b 4.852
_cell_length_c 12.107
_cell_angle_alpha 90.00
_cell_angle_beta 114.41
_cell_angle_gamma 90.00
loop_
_space_group_symop_operation_xyz
'x,y,z'
'-x,-y,-z'
'-x,y,-z'
'x,-y,z'
'x+1/2,y+1/2,z'
'-x+1/2,-y+1/2,-z'
'-x+1/2,y+1/2,-z'
'x+1/2,-y+1/2,z'
loop_
_atom_site_label
_atom_site_type_symbol
_atom_site_fract_x
_atom_site_fract_y
_atom_site_fract_z
K1 K 0.116 0.000 0.413
K2 K 0.209 0.500 0.150
Zn1 Zn 0.049 0.500 0.804
Sb1 Sb 0.042 0.000 0.904
Sb2 Sb 0.102 0.500 0.612
# total magnetic moment: 0.0 μB/f.u.
# ΔE_f (raw): -1.62 eV per formula unit
# uncorrected energy: -13.330 eV per formula unit
# density of states at the Fermi level: 0.117 states/eV per atom
# volume: 704.7 Å³ per cell

Entry 11:
# MgSn2B2Ir5, optimized geometry, DFT PBE-GGA
data_MgSn2B2Ir5
_space_group_name_H-M_alt 'P 4/m b m'
_space_group_IT_number 127
_space_group_name_Hall '-P 4 2ab'
_cell_length_a 9.584
_cell_length_b 9.584
_cell_length_c 3.139
_cell_angle_alpha 90.00
_cell_angle_beta 90.00
_cell_angle_gamma 90.00
loop_
_atom_site_label
_atom_site_type_symbol
_atom_site_fract_x
_atom_site_fract_y
_atom_site_fract_z
Mg1 Mg 0.000 0.000 0.000
Sn1 Sn 0.178 0.322 0.000
B1 B 0.124 0.624 0.000
Ir1 Ir 0.000 0.500 0.500
Ir2 Ir 0.074 0.780 0.500
# total magnetic moment: 0.0 μB/f.u.
# uncorrected energy: -68.091 eV per formula unit
# density of states at the Fermi level: 0.392 states/eV per atom
# volume: 288.3 Å³ per cell

Entry 12:
# LiTa2W, optimized geometry, DFT PBE-GGA
data_LiTa2W
_space_group_name_H-M_alt 'R -3 m'
_space_group_IT_number 166
_space_group_name_Hall '-R 3 2"'
_cell_length_a 2.8272
_cell_length_b 2.8272
_cell_length_c 30.7799
_cell_angle_alpha 90.00
_cell_angle_beta 90.00
_cell_angle_gamma 120.00
loop_
_atom_site_label
_atom_site_type_symbol
_atom_site_fract_x
_atom_site_fract_y
_atom_site_fract_z
Li1 Li 0.0000 0.0000 0.0000
Ta1 Ta 0.0000 0.0000 0.2483
W1 W 0.0000 0.0000 0.5000
# total magnetic moment: 0.0 μB/f.u.
# uncorrected energy: -37.013 eV per formula unit
# density of states at the Fermi level: 0.982 states/eV per atom
# volume: 213.1 Å³ per cell

Entry 13:
# PmAl3Pt3, optimized geometry, DFT PBE-GGA
data_PmAl3Pt3
_space_group_name_H-M_alt 'P m -3 n'
_space_group_IT_number 223
_space_group_name_Hall '-P 4n 2 3'
_cell_length_a 6.780
_cell_length_b 6.780
_cell_length_c 6.780
_cell_angle_alpha 90.00
_cell_angle_beta 90.00
_cell_angle_gamma 90.00
loop_
_atom_site_label
_atom_site_type_symbol
_atom_site_fract_x
_atom_site_fract_y
_atom_site_fract_z
Pm1 Pm 0.000 0.000 0.000
Al1 Al 0.000 0.250 0.500
Pt1 Pt 0.000 0.500 0.250
# total magnetic moment: 0.0 μB/f.u.
# uncorrected energy: -38.506 eV per formula unit
# density of states at the Fermi level: 0.735 states/eV per atom
# volume: 311.7 Å³ per cell

Entry 14:
# Ta2TcOs, optimized geometry, DFT PBE-GGA
data_Ta2TcOs
_space_group_name_H-M_alt 'I m m m'
_space_group_IT_number 71
_space_group_name_Hall '-I 2 2'
_cell_length_a 2.836
_cell_length_b 4.907
_cell_length_c 10.018
_cell_angle_alpha 90.00
_cell_angle_beta 90.00
_cell_angle_gamma 90.00
loop_
_atom_site_label
_atom_site_type_symbol
_atom_site_fract_x
_atom_site_fract_y
_atom_site_fract_z
Ta1 Ta 0.000 0.000 0.248
Tc1 Tc 0.000 0.000 0.500
Os1 Os 0.000 0.000 0.000
# total magnetic moment: 0.0 μB/f.u.
# uncorrected energy: -42.423 eV per formula unit
# density of states at the Fermi level: 0.955 states/eV per atom
# volume: 139.4 Å³ per cell

Entry 15:
# TbEuZnHg, optimized geometry, DFT PBE-GGA
data_TbEuZnHg
_space_group_name_H-M_alt 'F -4 3 m'
_space_group_IT_number 216
_space_group_name_Hall 'F -4 2 3'
_cell_length_a 7.476
_cell_length_b 7.476
_cell_length_c 7.476
_cell_angle_alpha 90.00
_cell_angle_beta 90.00
_cell_angle_gamma 90.00
loop_
_atom_site_label
_atom_site_type_symbol
_atom_site_fract_x
_atom_site_fract_y
_atom_site_fract_z
Tb1 Tb 0.000 0.000 0.000
Eu1 Eu 0.000 0.000 0.500
Zn1 Zn 0.250 0.250 0.750
Hg1 Hg 0.250 0.250 0.250
# total magnetic moment: 7.0 μB/f.u.
# uncorrected energy: -17.985 eV per formula unit
# density of states at the Fermi level: 1.487 states/eV per atom
# volume: 417.9 Å³ per cell

Entry 16:
# Zn2CuSi, optimized geometry, DFT PBE-GGA
data_Zn2CuSi
_space_group_name_H-M_alt 'P 4/m m m'
_space_group_IT_number 123
_space_group_name_Hall '-P 4 2'
_cell_length_a 2.625
_cell_length_b 2.625
_cell_length_c 8.304
_cell_angle_alpha 90.00
_cell_angle_beta 90.00
_cell_angle_gamma 90.00
loop_
_atom_site_label
_atom_site_type_symbol
_atom_site_fract_x
_atom_site_fract_y
_atom_site_fract_z
Zn1 Zn 0.000 0.000 0.224
Cu1 Cu 0.500 0.500 0.000
Si1 Si 0.500 0.500 0.500
# total magnetic moment: 0.0 μB/f.u.
# ΔE_f (raw): 0.53 eV per formula unit
# uncorrected energy: -11.542 eV per formula unit
# density of states at the Fermi level: 0.280 states/eV per atom
# volume: 57.2 Å³ per cell

Entry 17:
# FeNiIr, optimized geometry, DFT PBE-GGA
data_FeNiIr
_space_group_name_H-M_alt 'P 3 m 1'
_space_group_IT_number 156
_cell_length_a 4.1218
_cell_length_b 4.1218
_cell_length_c 2.5834
_cell_angle_alpha 90.00
_cell_angle_beta 90.00
_cell_angle_gamma 120.00
loop_
_space_group_symop_operation_xyz
'x,y,z'
'-y,x-y,z'
'-x+y,-x,z'
'-y,-x,z'
'-x+y,y,z'
'x,x-y,z'
loop_
_atom_site_label
_atom_site_type_symbol
_atom_site_fract_x
_atom_site_fract_y
_atom_site_fract_z
Fe1 Fe 0.0000 0.0000 0.0000
Ni1 Ni 0.6667 0.3333 0.9241
Ir1 Ir 0.3333 0.6667 0.4456
# total magnetic moment: 3.8 μB/f.u.
# uncorrected energy: -23.002 eV per formula unit
# density of states at the Fermi level: 1.390 states/eV per atom
# volume: 38.0 Å³ per cell

Entry 18:
# La2NbO, optimized geometry, DFT PBE-GGA
data_La2NbO
_space_group_name_H-M_alt 'R -3 m'
_space_group_IT_number 166
_space_group_name_Hall '-R 3 2"'
_cell_length_a 3.5315
_cell_length_b 3.5315
_cell_length_c 25.1523
_cell_angle_alpha 90.00
_cell_angle_beta 90.00
_cell_angle_gamma 120.00
loop_
_atom_site_label
_atom_site_type_symbol
_atom_site_fract_x
_atom_site_fract_y
_atom_site_fract_z
La1 La 0.0000 0.0000 0.2288
Nb1 Nb 0.0000 0.0000 0.0000
O1 O 0.0000 0.0000 0.5000
# total magnetic moment: 0.0 μB/f.u.
# ΔE_f (raw): -3.66 eV per formula unit
# uncorrected energy: -28.547 eV per formula unit
# density of states at the Fermi level: 1.051 states/eV per atom
# volume: 271.7 Å³ per cell

Entry 19:
# Sc4CdAg2Pt, optimized geometry, DFT PBE-GGA
data_Sc4CdAg2Pt
_space_group_name_H-M_alt 'R -3 m'
_space_group_IT_number 166
_space_group_name_Hall '-R 3 2"'
_cell_length_a 4.8459
_cell_length_b 4.8459
_cell_length_c 23.6310
_cell_angle_alpha 90.00
_cell_angle_beta 90.00
_cell_angle_gamma 120.00
loop_
_atom_site_label
_atom_site_type_symbol
_atom_site_fract_x
_atom_site_fract_y
_atom_site_fract_z
Sc1 Sc 0.0000 0.0000 0.1169
Sc2 Sc 0.0000 0.0000 0.3691
Cd1 Cd 0.0000 0.0000 0.5000
Ag1 Ag 0.0000 0.0000 0.2420
Pt1 Pt 0.0000 0.0000 0.0000
# total magnetic moment: 0.0 μB/f.u.
# uncorrected energy: -42.343 eV per formula unit
# density of states at the Fermi level: 0.621 states/eV per atom
# volume: 480.6 Å³ per cell

Entry 20:
# ZnHgPbBr4, optimized geometry, DFT PBE-GGA
data_ZnHgPbBr4
_space_group_name_H-M_alt 'C 1 2/m 1'
_space_group_IT_number 12
_cell_length_a 13.856
_cell_length_b 9.725
_cell_length_c 9.031
_cell_angle_alpha 90.00
_cell_angle_beta 111.64
_cell_angle_gamma 90.00
loop_
_space_group_symop_operation_xyz
'x,y,z'
'-x,-y,-z'
'-x,y,-z'
'x,-y,z'
'x+1/2,y+1/2,z'
'-x+1/2,-y+1/2,-z'
'-x+1/2,y+1/2,-z'
'x+1/2,-y+1/2,z'
loop_
_atom_site_label
_atom_site_type_symbol
_atom_site_fract_x
_atom_site_fract_y
_atom_site_fract_z
Zn1 Zn 0.165 0.000 0.305
Hg1 Hg 0.035 0.500 0.830
Pb1 Pb 0.228 0.000 0.903
Br1 Br 0.011 0.000 0.701
Br2 Br 0.186 0.190 0.135
Br3 Br 0.214 0.500 0.427
# total magnetic moment: 0.0 μB/f.u.
# ΔE_f (raw): -4.91 eV per formula unit
# uncorrected energy: -16.883 eV per formula unit
# density of states at the Fermi level: 0.000 states/eV per atom
# volume: 1131.3 Å³ per cell